(1)
# MnAsSe2Cl

Crystalline MnAsSe2Cl at its relaxed geometry (PBEsol, the Alexandria database).

Geometry as extended XYZ:
```
5
Lattice="4.563 0.000 0.000 0.000 4.563 0.000 0.000 0.000 4.780" Properties=species:S:1:pos:R:3 pbc="T T T"
As 0.000 0.000 2.390
Se 2.282 0.000 0.000
Se 0.000 2.282 0.000
Mn 0.000 0.000 0.000
Cl 2.282 2.282 2.390
```

## Properties
**Density of states at the Fermi level**: 5.20 states/eV per cell
**ΔE to the lowest computed polymorph**: 0.0 meV per atom
**Formation energy from raw total energies**: 239 meV per atom
**Space group**: P4/mmm (123)

---

(2)
# MoAsCl2

Crystalline MoAsCl2 at its relaxed geometry (PBEsol, the Alexandria database).

Geometry as extended XYZ:
```
4
Lattice="3.217 0.000 0.000 0.000 3.217 0.000 0.000 0.000 8.518" Properties=species:S:1:pos:R:3 pbc="T T T"
As 1.609 1.609 4.754
Mo 0.000 0.000 5.873
Cl 1.609 1.609 2.569
Cl 0.000 0.000 8.098
```

## Properties
**Density of states at the Fermi level**: 1.44 states/eV per cell
**ΔE to the lowest computed polymorph**: 0.0 meV per atom
**Formation energy from raw total energies**: -188 meV per atom
**Space group**: P4mm (99)

---

(3)
# MoAsCl2

Crystalline MoAsCl2 at its relaxed geometry (PBEsol, the Alexandria database).

Geometry as extended XYZ:
```
4
Lattice="-0.106 0.736 -2.757 4.240 -1.754 -0.631 -4.642 -5.202 0.269" Properties=species:S:1:pos:R:3 pbc="T T T"
As -1.795 -3.495 -2.342
Cl -0.008 -0.017 -0.004
Cl 1.319 -2.654 -0.759
Mo 2.043 -0.563 -1.707
```

## Properties
**Density of states at the Fermi level**: 2.04 states/eV per cell
**ΔE to the lowest computed polymorph**: 164.4 meV per atom
**Formation energy from raw total energies**: -24 meV per atom
**Space group**: Imm2 (44)

---

- Which of these has the lowest density of states at the Fermi level?
  number 2

---

- What is the ΔE to the lowest computed polymorph in the first record?
  0.0 meV per atom

---

- Among the records above, which one has the highest ΔE to the lowest computed polymorph?
  number 3

---

- ΔE to the lowest computed polymorph of number 2 (MoAsCl2)?
  0.0 meV per atom